DFT (PBE-GGA) results for CsMnHgI2 after structural relaxation.

Cell lengths 5.9441, 5.9441, 5.5073 Å; angles 90.00, 90.00, 90.00 degrees
Positions (direct):
Cs 0.0000 0.0000 0.0000
Mn 0.5000 0.5000 0.5000
Hg 0.5000 0.5000 0.0000
I 0.0000 0.5000 0.5000
I 0.5000 0.0000 0.5000

Results
The formation energy without anion corrections comes out at -0.5275 eV/atom. As for the density of states at the Fermi level: 1.73 states/eV/f.u.

---

DFT (PBE-GGA) results for SiNi5Ge after structural relaxation.

Cell lengths 4.5894, 4.5894, 8.1932 Å; angles 102.91, 102.91, 93.54 degrees
Positions (direct):
Si 0.9999 0.0001 0.2500
Si 0.0001 0.9999 0.7500
Ni 0.0461 0.7397 0.4643
Ni 0.1134 0.4833 0.1603
Ni 0.2603 0.9539 0.0357
Ni 0.3425 0.6575 0.7500
Ni 0.4833 0.1134 0.6603
Ni 0.5167 0.8866 0.3397
Ni 0.6575 0.3425 0.2500
Ni 0.7397 0.0461 0.9643
Ni 0.8866 0.5167 0.8397
Ni 0.9539 0.2603 0.5357
Ge 0.5000 0.5000 0.0000
Ge 0.5000 0.5000 0.5000

Results
The formation energy without anion corrections comes out at -0.2992 eV/atom. As for the energy above the most stable polymorph in this dataset: 0.054 eV/atom. As for the density of states at the Fermi level: 6.30 states/eV/f.u.

---

DFT (PBE-GGA) results for Nd6ErMg after structural relaxation.

Cell lengths 6.4924, 6.4924, 6.4924 Å; angles 96.52, 96.52, 96.52 degrees
Positions (direct):
Nd 0.0544 0.5303 0.7607
Nd 0.2393 0.9456 0.4697
Nd 0.4697 0.2393 0.9456
Nd 0.5303 0.7607 0.0544
Nd 0.7607 0.0544 0.5303
Nd 0.9456 0.4696 0.2393
Er 0.5000 0.5000 0.5000
Mg 0.0000 0.0000 0.0000

Results
For the energy of formation from the pure elements, the calculation gives 93.0 meV per atom. As for the energy above the most stable polymorph in this dataset: 0.092 eV/atom. As for the density of states at the Fermi level: 11.20 states/eV/f.u.

---

DFT (PBE-GGA) results for ReIrPd after structural relaxation.

Cell lengths 6.2091, 6.2091, 6.2091 Å; angles 154.36, 154.36, 36.58 degrees
Positions (direct):
Re 0.0000 0.0000 0.0000
Ir 0.6517 0.6517 0.0000
Pd 0.3313 0.3313 0.0000

Results
For the energy of formation from the pure elements, the calculation gives -42.0 meV per atom. As for the energy above the most stable polymorph in this dataset: 0.000 eV/atom. As for the density of states at the Fermi level: 1.89 states/eV/f.u.

---

DFT (PBE-GGA) results for Y2ErHg after structural relaxation.

Cell lengths 5.3191, 5.3191, 3.9826 Å; angles 90.00, 90.00, 90.00 degrees
Positions (direct):
Y 0.0000 0.5000 0.0000
Y 0.5000 0.0000 0.0000
Er 0.0000 0.0000 0.5000
Hg 0.5000 0.5000 0.5000

Results
For the energy of formation from the pure elements, the calculation gives -121.2 meV per atom. As for the energy above the most stable polymorph in this dataset: 0.109 eV/atom. As for the density of states at the Fermi level: 6.11 states/eV/f.u.

---

DFT (PBE-GGA) results for Rb2LaGaI6 after structural relaxation.

Cell lengths 8.9728, 8.9728, 8.9728 Å; angles 60.00, 60.00, 60.00 degrees
Positions (direct):
Rb 0.2500 0.2500 0.2500
Rb 0.7500 0.7500 0.7500
La 0.0000 0.0000 0.0000
Ga 0.5000 0.5000 0.5000
I 0.2482 0.2482 0.7518
I 0.2482 0.7518 0.2482
I 0.2482 0.7518 0.7518
I 0.7518 0.2482 0.2482
I 0.7518 0.2482 0.7518
I 0.7518 0.7518 0.2482

Results
The formation energy without anion corrections comes out at -1.2417 eV/atom. As for the energy above the most stable polymorph in this dataset: 0.049 eV/atom. As for the density of states at the Fermi level: 0.00 states/eV/f.u.

---

DFT (PBE-GGA) results for CaIrO3 after structural relaxation.

Cell lengths 3.8184, 3.8184, 11.8228 Å; angles 90.00, 90.00, 121.49 degrees
Positions (direct):
Ca 0.0000 0.0000 0.0000
Ca 0.0000 0.0000 0.5000
Ir 0.3358 0.6642 0.7500
Ir 0.6642 0.3358 0.2500
O 0.1624 0.8376 0.2500
O 0.3354 0.6646 0.5877
O 0.3354 0.6646 0.9123
O 0.6646 0.3354 0.0877
O 0.6646 0.3354 0.4123
O 0.8376 0.1624 0.7500

Results
The formation energy without anion corrections comes out at -1.5235 eV/atom. As for the density of states at the Fermi level: 2.01 states/eV/f.u.

---

DFT (PBE-GGA) results for Zn2FeTc after structural relaxation.

Cell lengths 5.3986, 5.3986, 5.3986 Å; angles 102.00, 102.00, 125.75 degrees
Positions (direct):
Zn 0.1062 0.6250 0.9812
Zn 0.3750 0.3562 0.4812
Zn 0.6438 0.1250 0.0188
Zn 0.8750 0.8938 0.5188
Fe 0.0000 0.0000 0.0000
Fe 0.7500 0.2500 0.5000
Tc 0.2500 0.7500 0.5000
Tc 0.5000 0.5000 0.0000

Results
For the energy of formation from the pure elements, the calculation gives 654.7 meV per atom. As for the energy above the most stable polymorph in this dataset: 0.648 eV/atom. As for the density of states at the Fermi level: 4.79 states/eV/f.u.